No. 1
Here is a relaxed Ac8Bi2Pb3 crystal from Alexandria. Energies are from PBE.

Cell: 9.7843 9.7843 8.3387 Å, 106.78 106.78 56.40°
Closest atoms and distances in Å follow each position.
Fractional coordinates of all 13 atoms:
Ac 0.1047 0.1047 0.3466  2 Pb 3.34, 1 Bi 3.45
Ac 0.1320 0.6435 0.0933  2 Pb 3.31, 2 Bi 3.45-3.48
Ac 0.3565 0.8680 0.9067  2 Pb 3.31, 2 Bi 3.45-3.48
Ac 0.3859 0.3859 0.5805  3 Pb 3.35-3.41, 1 Bi 3.52
Ac 0.6141 0.6141 0.4195  3 Pb 3.35-3.41, 1 Bi 3.52
Ac 0.6435 0.1320 0.0933  2 Pb 3.31, 2 Bi 3.45-3.48
Ac 0.8680 0.3565 0.9067  2 Pb 3.31, 2 Bi 3.45-3.48
Ac 0.8953 0.8953 0.6534  2 Pb 3.34, 1 Bi 3.45
Bi 0.2550 0.2550 0.1567  6 Ac 3.45-3.52
Bi 0.7450 0.7450 0.8433  6 Ac 3.45-3.52
Pb 0.2351 0.7649 0.5000  6 Ac 3.31-3.35
Pb 0.5000 0.5000 0.0000  6 Ac 3.31-3.41
Pb 0.7649 0.2351 0.5000  6 Ac 3.31-3.35

## Properties
Formation energy   -4.18 eV/f.u.
Total moment   0.01 Bohr magnetons per cell
DFT total energy   -4.303 eV per atom
Space group   C2/m, No. 12
Fermi-level density of states   13.9 states/eV/f.u.

No. 2
Here is a relaxed AcBi2Pb crystal from Alexandria. Energies are from PBE.

Cell: 5.2935 5.2935 4.7547 Å, 90.00 90.00 90.00°
Closest atoms and distances in Å follow each position.
Fractional coordinates of all 4 atoms:
Ac 0.0000 0.0000 0.0000  8 Bi 3.56, 4 Pb 3.74
Bi 0.0000 0.5000 0.5000  4 Pb 3.56, 4 Ac 3.56, 4 Bi 3.74
Bi 0.5000 0.0000 0.5000  4 Pb 3.56, 4 Ac 3.56, 4 Bi 3.74
Pb 0.5000 0.5000 0.0000  8 Bi 3.56, 4 Ac 3.74

## Properties
Formation energy   -2.02 eV/f.u.
Total moment   0.00 Bohr magnetons per cell
Distance to the lowest polymorph of the same formula   0.00 eV/f.u.
DFT total energy   -4.399 eV per atom
Space group   P4/mmm, No. 123
Fermi-level density of states   3.1 states/eV/f.u.

No. 3
Here is a relaxed Ac5Bi4Pb crystal from Alexandria. Energies are from PBE.

Cell: 6.8909 8.4458 8.4502 Å, 80.44 65.94 65.97°
Closest atoms and distances in Å follow each position.
Fractional coordinates of all 10 atoms:
Ac 0.0000 0.0000 0.0000  5 Bi 3.43-3.46, 1 Pb 3.46
Ac 0.1988 0.4015 0.1996  2 Pb 3.44-3.45, 4 Bi 3.45
Ac 0.3991 0.8031 0.3992  5 Bi 3.43-3.46, 1 Pb 3.46
Ac 0.5986 0.2019 0.6011  5 Bi 3.43-3.46, 1 Pb 3.46
Ac 0.8005 0.6012 0.7981  5 Bi 3.43-3.46, 1 Pb 3.46
Bi 0.1004 0.2002 0.5994  6 Ac 3.43-3.46
Bi 0.2987 0.6029 0.7998  6 Ac 3.43-3.46
Bi 0.5000 0.0018 0.9983  6 Ac 3.43-3.46
Bi 0.8991 0.8013 0.4009  6 Ac 3.43-3.46
Pb 0.6987 0.4015 0.1996  6 Ac 3.44-3.46

## Properties
Formation energy   -8.74 eV/f.u.
Total moment   0.00 Bohr magnetons per cell
DFT total energy   -4.851 eV per atom
Space group   P1, No. 1
Fermi-level density of states   6.0 states/eV/f.u.

No. 4
Here is a relaxed Ac2BiPb crystal from Alexandria. Energies are from PBE.

Cell: 4.6691 4.6691 26.3506 Å, 90.00 90.00 120.00°
Closest atoms and distances in Å follow each position.
Fractional coordinates of all 12 atoms:
Ac 0.0000 0.0000 0.0000  3 Bi 3.43, 3 Pb 3.55
Ac 0.0000 0.0000 0.1745  3 Bi 3.39, 3 Pb 3.53
Ac 0.3333 0.6667 0.6667  3 Bi 3.43, 3 Pb 3.55
Ac 0.3333 0.6667 0.8412  3 Bi 3.39, 3 Pb 3.53
Ac 0.6667 0.3333 0.3333  3 Bi 3.43, 3 Pb 3.55
Ac 0.6667 0.3333 0.5078  3 Bi 3.39, 3 Pb 3.53
Bi 0.0000 0.0000 0.5860  6 Ac 3.39-3.43
Bi 0.3333 0.6667 0.2527  6 Ac 3.39-3.43
Bi 0.6667 0.3333 0.9193  6 Ac 3.39-3.43
Pb 0.0000 0.0000 0.7546  6 Ac 3.53-3.55
Pb 0.3333 0.6667 0.4213  6 Ac 3.53-3.55
Pb 0.6667 0.3333 0.0879  6 Ac 3.53-3.55

## Properties
Formation energy   -2.40 eV/f.u.
Total moment   0.00 Bohr magnetons per cell
Distance to the lowest polymorph of the same formula   0.63 eV/f.u.
DFT total energy   -4.552 eV per atom
Space group   R3m, No. 160
Fermi-level density of states   2.6 states/eV/f.u.

No. 5
Here is a relaxed Ac6BiPb6 crystal from Alexandria. Energies are from PBE.

Cell: 7.0275 7.0275 11.4372 Å, 90.00 90.00 120.00°
Closest atoms and distances in Å follow each position.
Fractional coordinates of all 13 atoms:
Ac 0.0000 0.0000 0.2134  1 Bi 3.28, 6 Pb 3.53
Ac 0.0000 0.0000 0.7866  1 Bi 3.28, 6 Pb 3.53
Ac 0.3333 0.6667 0.0000  6 Pb 3.48
Ac 0.3333 0.6667 0.5000  6 Pb 3.53
Ac 0.6667 0.3333 0.0000  6 Pb 3.48
Ac 0.6667 0.3333 0.5000  6 Pb 3.53
Bi 0.0000 0.0000 0.5000  2 Ac 3.28
Pb 0.0000 0.5000 0.2472  6 Ac 3.48-3.53, 4 Pb 3.51
Pb 0.0000 0.5000 0.7528  6 Ac 3.48-3.53, 4 Pb 3.51
Pb 0.5000 0.0000 0.2472  6 Ac 3.48-3.53, 4 Pb 3.51
Pb 0.5000 0.0000 0.7528  6 Ac 3.48-3.53, 4 Pb 3.51
Pb 0.5000 0.5000 0.2472  6 Ac 3.48-3.53, 4 Pb 3.51
Pb 0.5000 0.5000 0.7528  6 Ac 3.48-3.53, 4 Pb 3.51

## Properties
Formation energy   -6.34 eV/f.u.
Total moment   0.12 Bohr magnetons per cell
DFT total energy   -4.394 eV per atom
Space group   P6/mmm, No. 191
Fermi-level density of states   8.9 states/eV/f.u.

No. 6
Here is a relaxed Ac8Bi3Pb4 crystal from Alexandria. Energies are from PBE.

Cell: 9.7172 9.7172 9.6786 Å, 119.81 119.81 90.08°
Closest atoms and distances in Å follow each position.
Fractional coordinates of all 15 atoms:
Ac 0.2425 0.7575 0.0000  3 Pb 3.34-3.44, 2 Bi 3.43
Ac 0.2437 0.2437 0.0035  2 Pb 3.32-3.42, 3 Bi 3.44-3.46
Ac 0.2442 0.2442 0.4870  4 Pb 3.35-3.44, 1 Bi 3.44
Ac 0.2501 0.7499 0.5000  3 Pb 3.43-3.44, 3 Bi 3.44
Ac 0.7499 0.2501 0.5000  3 Pb 3.43-3.44, 3 Bi 3.44
Ac 0.7558 0.7558 0.5130  4 Pb 3.35-3.44, 1 Bi 3.44
Ac 0.7563 0.7563 0.9965  2 Pb 3.32-3.42, 3 Bi 3.44-3.46
Ac 0.7575 0.2425 0.0000  3 Pb 3.34-3.44, 2 Bi 3.43
Bi 0.0000 0.0000 0.5000  6 Ac 3.44-3.46
Bi 0.0000 0.5000 0.0000  6 Ac 3.43-3.44
Bi 0.5000 0.0000 0.0000  6 Ac 3.43-3.44
Pb 0.0000 0.0000 0.0000  6 Ac 3.32-3.35
Pb 0.0000 0.5000 0.5000  6 Ac 3.43-3.44
Pb 0.5000 0.0000 0.5000  6 Ac 3.43-3.44
Pb 0.5000 0.5000 0.5000  6 Ac 3.42-3.44

## Properties
Formation energy   -8.89 eV/f.u.
Total moment   0.54 Bohr magnetons per cell
DFT total energy   -4.549 eV per atom
Space group   C2/m, No. 12
Fermi-level density of states   11.9 states/eV/f.u.

The lowest formation energy belongs to which entry?
Ac8Bi3Pb4